DFT (GGA+U) results for a relaxed structure of CoHO2.

Results
- Electronic total energy: -5.598 eV/atom

```
data_CoHO2
_symmetry_space_group_name_H-M 'C 1 m 1'
_symmetry_Int_Tables_number 8
_symmetry_space_group_name_Hall 'C -2y'
_cell_length_a 4.9503
_cell_length_b 2.8393
_cell_length_c 4.4313
_cell_angle_alpha 90.00
_cell_angle_beta 104.62
_cell_angle_gamma 90.00
loop_
_atom_site_label
_atom_site_type_symbol
_atom_site_fract_x
_atom_site_fract_y
_atom_site_fract_z
Co1 Co 0.0000 0.0000 0.0000
H1 H 0.4875 0.0000 0.4841
O1 O 0.1152 0.5000 0.7757
O2 O 0.3849 0.0000 0.2264
```